Record 1
First-principles (PBE-GGA) data for crystalline PuZrPb at its relaxed geometry, as listed in the Alexandria database.

Properties
Crystal system: trigonal
Energy above the lowest structure with this stoichiometry in meV/atom: 81.6

Unit cell a=5.2174 b=5.2174 c=3.3679 alpha=90.00 beta=90.00 gamma=120.00
Closest atoms and distances in Å follow each position.
Space group P3m1 (No. 156)
Asymmetric unit:
Pu 0.0000 0.0000 0.0000 [1 per cell]  2 Pu 3.37, 6 Zr 3.45, 6 Pb 3.45
Zr 0.3333 0.6667 0.5010 [1 per cell]  3 Pb 3.01, 2 Zr 3.37
Pb 0.6667 0.3333 0.4993 [1 per cell]  3 Zr 3.01, 2 Pb 3.37

---

Record 2
First-principles (PBE-GGA) data for crystalline PuZrPb2 at its relaxed geometry, as listed in the Alexandria database.

Properties
Crystal system: tetragonal

Unit cell a=3.9166 b=3.9166 c=6.8120 alpha=90.00 beta=90.00 gamma=90.00
Closest atoms and distances in Å follow each position.
Space group P4/mmm (No. 123)
Asymmetric unit:
Pu 0.0000 0.0000 0.0000 [1 per cell]  8 Pb 3.32, 2 Zr 3.41
Zr 0.0000 0.0000 0.5000 [1 per cell]  8 Pb 3.18, 2 Pu 3.41
Pb 0.5000 0.5000 0.2699 [2 per cell]  1 Pb 3.14, 4 Zr 3.18, 4 Pu 3.32

---

Record 3
First-principles (PBE-GGA) data for crystalline PuZr2Pb at its relaxed geometry, as listed in the Alexandria database.

Properties
Crystal system: tetragonal
Energy above the lowest structure with this stoichiometry in meV/atom: 0.0

Unit cell a=4.7215 b=4.7215 c=4.2498 alpha=90.00 beta=90.00 gamma=90.00
Closest atoms and distances in Å follow each position.
Space group P4/mmm (No. 123)
Asymmetric unit:
Pu 0.0000 0.0000 0.0000 [1 per cell]  8 Zr 3.18, 4 Pb 3.34
Zr 0.0000 0.5000 0.5000 [2 per cell]  4 Pb 3.18, 4 Pu 3.18, 4 Zr 3.34
Pb 0.5000 0.5000 0.0000 [1 per cell]  8 Zr 3.18, 4 Pu 3.34

---

Record 4
First-principles (PBE-GGA) data for crystalline RbPb4 at its relaxed geometry, as listed in the Alexandria database.

Properties
Crystal system: cubic

Unit cell a=6.1052 b=6.1052 c=6.1052 alpha=90.00 beta=90.00 gamma=90.00
Closest atoms and distances in Å follow each position.
Space group Pm-3m (No. 221)
Asymmetric unit:
Rb 0.0000 0.0000 0.0000 [1 per cell]  6 Pb 3.05
Pb 0.0000 0.0000 0.5000 [3 per cell]  2 Rb 3.05
Pb 0.5000 0.5000 0.5000 [1 per cell]  12 Pb 4.32

---

Record 5
First-principles (PBE-GGA) data for crystalline RbPb at its relaxed geometry, as listed in the Alexandria database.

Properties
Crystal system: tetragonal
Energy above the lowest structure with this stoichiometry in meV/atom: 261.1

Unit cell a=13.8448 b=13.8448 c=3.9023 alpha=90.00 beta=90.00 gamma=90.00
Closest atoms and distances in Å follow each position.
Space group I4/m (No. 87)
Asymmetric unit:
Rb 0.1327 0.6682 0.0000 [8 per cell]  4 Pb 3.73-3.93, 2 Rb 3.90
Pb 0.0624 0.1447 0.0000 [8 per cell]  2 Pb 3.09

---

Record 6
First-principles (PBE-GGA) data for crystalline RbPb at its relaxed geometry, as listed in the Alexandria database.

Properties
Crystal system: cubic
Energy above the lowest structure with this stoichiometry in meV/atom: 710.1

Unit cell a=7.5027 b=7.5027 c=7.5027 alpha=90.00 beta=90.00 gamma=90.00
Closest atoms and distances in Å follow each position.
Space group Fm-3m (No. 225)
Asymmetric unit:
Rb 0.0000 0.0000 0.0000 [4 per cell]  6 Pb 3.75
Pb 0.0000 0.0000 0.5000 [4 per cell]  6 Rb 3.75

---

Calculated values (eV per cell) of final energy for the records, taken in order: -26.28; -30.64; -35.50; -10.65; -36.86; -14.84.
Calculated values (eV/atom) of calculated formation energy for the records, taken in order: 0.10; -0.09; -0.09; 1.03; 0.03; 0.48.